VASP calculation (PBE) on crystalline NaTmMgAg at its relaxed geometry.

Cell lengths 7.167, 7.167, 7.167 Å; angles 90.00, 90.00, 90.00 degrees
Space group F-43m (No. 216)
Symmetry-distinct sites (fractional):
Na 0.000 0.000 0.000 [4 per cell]
Tm 0.250 0.250 0.750 [4 per cell]
Mg 0.250 0.250 0.250 [4 per cell]
Ag 0.000 0.000 0.500 [4 per cell]

Computed properties:
Total magnetic moment ... 0.91 Bohr magnetons per cell
Electronic total energy ... -40.32 eV/cell